Entry 1:
This record from Alexandria via LeMat-Bulk describes a relaxed Zr2SnSb crystal. The functional is PBE. Values from VASP.

Structure (Quantum ESPRESSO input):
```
&SYSTEM
  ibrav = 0, nat = 4, ntyp = 3
/
ATOMIC_SPECIES
Zr 91.22 Zr.upf
Sn 118.71 Sn.upf
Sb 121.76 Sb.upf
CELL_PARAMETERS angstrom
2.068 1.194 6.769
-2.068 1.194 6.769
0.000 -2.387 6.769
ATOMIC_POSITIONS crystal
Zr 0.249 0.249 0.249
Zr 0.751 0.751 0.751
Sn 0.500 0.500 0.500
Sb 0.000 0.000 0.000
```

## Properties
- Fermi-level density of states: 0.530 states/eV/atom
- Energy relative to the elements, uncorrected: -455 meV per atom

---

Entry 2:
This record from Alexandria via LeMat-Bulk describes a relaxed Zr2SnSb2 crystal. The functional is PBE. Values from VASP.

Structure (Quantum ESPRESSO input):
```
&SYSTEM
  ibrav = 0, nat = 5, ntyp = 3
/
ATOMIC_SPECIES
Zr 91.22 Zr.upf
Sn 118.71 Sn.upf
Sb 121.76 Sb.upf
CELL_PARAMETERS angstrom
5.377 0.000 0.000
0.000 5.377 0.000
0.000 0.000 5.544
ATOMIC_POSITIONS crystal
Zr 0.000 0.500 0.000
Zr 0.500 0.000 0.000
Sn 0.000 0.000 0.500
Sb 0.500 0.500 0.000
Sb 0.500 0.500 0.500
```

## Properties
- Fermi-level density of states: 1.021 states/eV/atom
- Energy relative to the elements, uncorrected: 712 meV per atom

---

Entry 3:
This record from Alexandria via LeMat-Bulk describes a relaxed Zr4SnSb crystal. The functional is PBE. Values from VASP.

Structure (Quantum ESPRESSO input):
```
&SYSTEM
  ibrav = 0, nat = 12, ntyp = 3
/
ATOMIC_SPECIES
Zr 91.22 Zr.upf
Sn 118.71 Sn.upf
Sb 121.76 Sb.upf
CELL_PARAMETERS angstrom
3.981 -6.425 0.000
3.981 6.425 0.000
-2.090 0.000 5.457
ATOMIC_POSITIONS crystal
Zr 0.100 0.710 0.940
Zr 0.203 0.402 0.639
Zr 0.290 0.900 0.560
Zr 0.402 0.203 0.139
Zr 0.598 0.797 0.861
Zr 0.710 0.100 0.440
Zr 0.797 0.598 0.361
Zr 0.900 0.290 0.060
Sn 0.391 0.609 0.250
Sn 0.609 0.391 0.750
Sb 0.006 0.994 0.250
Sb 0.994 0.006 0.750
```

## Properties
- Fermi-level density of states: 0.785 states/eV/atom
- Excess energy over the best structure of this formula in the dataset: 0 meV per atom
- Energy relative to the elements, uncorrected: -400 meV per atom

---

Entry 4:
This record from Alexandria via LeMat-Bulk describes a relaxed Zr2SnSb2 crystal. The functional is PBE. Values from VASP.

Structure (Quantum ESPRESSO input):
```
&SYSTEM
  ibrav = 0, nat = 10, ntyp = 3
/
ATOMIC_SPECIES
Zr 91.22 Zr.upf
Sn 118.71 Sn.upf
Sb 121.76 Sb.upf
CELL_PARAMETERS angstrom
7.898 0.000 0.000
0.000 7.898 0.000
0.000 0.000 3.883
ATOMIC_POSITIONS crystal
Zr 0.149 0.351 0.000
Zr 0.351 0.851 0.000
Zr 0.649 0.149 0.000
Zr 0.851 0.649 0.000
Sn 0.000 0.000 0.000
Sn 0.500 0.500 0.000
Sb 0.148 0.648 0.500
Sb 0.352 0.148 0.500
Sb 0.648 0.852 0.500
Sb 0.852 0.352 0.500
```

## Properties
- Fermi-level density of states: 0.601 states/eV/atom
- Energy relative to the elements, uncorrected: -496 meV per atom

---

Entry 5:
This record from Alexandria via LeMat-Bulk describes a relaxed Zr4Sn2Sb crystal. The functional is PBE. Values from VASP.

Structure (Quantum ESPRESSO input):
```
&SYSTEM
  ibrav = 0, nat = 7, ntyp = 3
/
ATOMIC_SPECIES
Zr 91.22 Zr.upf
Sn 118.71 Sn.upf
Sb 121.76 Sb.upf
CELL_PARAMETERS angstrom
-2.555 2.555 7.688
2.555 -2.555 7.688
2.555 2.555 -7.688
ATOMIC_POSITIONS crystal
Zr 0.000 0.500 0.500
Zr 0.178 0.178 0.000
Zr 0.500 0.000 0.500
Zr 0.822 0.822 0.000
Sn 0.367 0.367 0.000
Sn 0.633 0.633 0.000
Sb 0.000 0.000 0.000
```

## Properties
- Fermi-level density of states: 1.089 states/eV/atom
- Energy relative to the elements, uncorrected: 342 meV per atom

---

Entry 6:
This record from Alexandria via LeMat-Bulk describes a relaxed Zr5SnSb2 crystal. The functional is PBE. Values from VASP.

Structure (Quantum ESPRESSO input):
```
&SYSTEM
  ibrav = 0, nat = 16, ntyp = 3
/
ATOMIC_SPECIES
Zr 91.22 Zr.upf
Sn 118.71 Sn.upf
Sb 121.76 Sb.upf
CELL_PARAMETERS angstrom
6.186 0.000 0.000
0.000 11.812 0.000
0.000 0.000 4.912
ATOMIC_POSITIONS crystal
Zr 0.000 0.000 0.000
Zr 0.130 0.243 0.000
Zr 0.163 0.604 0.500
Zr 0.337 0.104 0.500
Zr 0.370 0.743 0.000
Zr 0.500 0.500 0.000
Zr 0.630 0.257 0.000
Zr 0.663 0.896 0.500
Zr 0.837 0.396 0.500
Zr 0.870 0.757 0.000
Sn 0.000 0.500 0.000
Sn 0.500 0.000 0.000
Sb 0.142 0.856 0.500
Sb 0.358 0.356 0.500
Sb 0.642 0.644 0.500
Sb 0.858 0.144 0.500
```

## Properties
- Fermi-level density of states: 0.844 states/eV/atom
- Energy relative to the elements, uncorrected: -509 meV per atom

---

Entry 7:
This record from Alexandria via LeMat-Bulk describes a relaxed Zr6SnSb3 crystal. The functional is PBE. Values from VASP.

Structure (Quantum ESPRESSO input):
```
&SYSTEM
  ibrav = 0, nat = 20, ntyp = 3
/
ATOMIC_SPECIES
Zr 91.22 Zr.upf
Sn 118.71 Sn.upf
Sb 121.76 Sb.upf
CELL_PARAMETERS angstrom
4.728 -7.037 0.000
4.728 7.037 0.000
0.000 0.000 7.345
ATOMIC_POSITIONS crystal
Zr 0.034 0.966 0.500
Zr 0.066 0.481 0.977
Zr 0.236 0.349 0.649
Zr 0.273 0.727 0.650
Zr 0.349 0.236 0.149
Zr 0.481 0.066 0.477
Zr 0.519 0.934 0.977
Zr 0.651 0.764 0.649
Zr 0.727 0.273 0.150
Zr 0.764 0.651 0.149
Zr 0.934 0.519 0.477
Zr 0.966 0.034 0.000
Sn 0.187 0.813 0.234
Sn 0.813 0.187 0.734
Sb 0.063 0.288 0.305
Sb 0.288 0.063 0.805
Sb 0.435 0.565 0.954
Sb 0.565 0.435 0.454
Sb 0.712 0.937 0.305
Sb 0.937 0.712 0.805
```

## Properties
- Fermi-level density of states: 0.938 states/eV/atom
- Energy relative to the elements, uncorrected: -429 meV per atom

---

Entry 8:
This record from Alexandria via LeMat-Bulk describes a relaxed ZrSnSb2 crystal. The functional is PBE. Values from VASP.

Structure (Quantum ESPRESSO input):
```
&SYSTEM
  ibrav = 0, nat = 8, ntyp = 3
/
ATOMIC_SPECIES
Zr 91.22 Zr.upf
Sn 118.71 Sn.upf
Sb 121.76 Sb.upf
CELL_PARAMETERS angstrom
-3.369 3.369 6.709
3.369 -3.369 6.709
3.369 3.369 -6.709
ATOMIC_POSITIONS crystal
Zr 0.000 0.000 0.000
Zr 0.750 0.250 0.500
Sn 0.250 0.750 0.500
Sn 0.500 0.500 0.000
Sb 0.103 0.625 0.978
Sb 0.375 0.353 0.478
Sb 0.647 0.125 0.022
Sb 0.875 0.897 0.522
```

## Properties
- Fermi-level density of states: 0.232 states/eV/atom
- Energy relative to the elements, uncorrected: 75 meV per atom

---

Entry 9:
This record from Alexandria via LeMat-Bulk describes a relaxed Zr2SnSb crystal. The functional is PBE. Values from VASP.

Structure (Quantum ESPRESSO input):
```
&SYSTEM
  ibrav = 0, nat = 4, ntyp = 3
/
ATOMIC_SPECIES
Zr 91.22 Zr.upf
Sn 118.71 Sn.upf
Sb 121.76 Sb.upf
CELL_PARAMETERS angstrom
2.033 1.174 7.096
-2.033 1.174 7.096
0.000 -2.347 7.096
ATOMIC_POSITIONS crystal
Zr 0.000 0.000 0.000
Zr 0.173 0.173 0.173
Sn 0.419 0.419 0.419
Sb 0.588 0.588 0.588
```

## Properties
- Fermi-level density of states: 0.799 states/eV/atom
- Energy relative to the elements, uncorrected: -409 meV per atom

---

Entry 10:
This record from Alexandria via LeMat-Bulk describes a relaxed ZrSn3Sb crystal. The functional is PBE. Values from VASP.

Structure (Quantum ESPRESSO input):
```
&SYSTEM
  ibrav = 0, nat = 5, ntyp = 3
/
ATOMIC_SPECIES
Zr 91.22 Zr.upf
Sn 118.71 Sn.upf
Sb 121.76 Sb.upf
CELL_PARAMETERS angstrom
5.582 0.000 0.000
0.000 5.582 0.000
0.000 0.000 5.582
ATOMIC_POSITIONS crystal
Zr 0.000 0.000 0.000
Sn 0.000 0.500 0.500
Sn 0.500 0.000 0.500
Sn 0.500 0.500 0.000
Sb 0.500 0.500 0.500
```

## Properties
- Fermi-level density of states: 1.009 states/eV/atom
- Excess energy over the best structure of this formula in the dataset: 516 meV per atom
- Energy relative to the elements, uncorrected: 1008 meV per atom

---

Entry 11:
This record from Alexandria via LeMat-Bulk describes a relaxed ZrSnSb3 crystal. The functional is PBE. Values from VASP.

Structure (Quantum ESPRESSO input):
```
&SYSTEM
  ibrav = 0, nat = 5, ntyp = 3
/
ATOMIC_SPECIES
Zr 91.22 Zr.upf
Sn 118.71 Sn.upf
Sb 121.76 Sb.upf
CELL_PARAMETERS angstrom
5.496 0.000 0.000
0.000 5.496 0.000
0.000 0.000 5.496
ATOMIC_POSITIONS crystal
Zr 0.000 0.000 0.000
Sn 0.500 0.500 0.500
Sb 0.000 0.500 0.500
Sb 0.500 0.000 0.500
Sb 0.500 0.500 0.000
```

## Properties
- Fermi-level density of states: 1.288 states/eV/atom
- Excess energy over the best structure of this formula in the dataset: 693 meV per atom
- Energy relative to the elements, uncorrected: 969 meV per atom

---

Entry 12:
This record from Alexandria via LeMat-Bulk describes a relaxed Zr2SnSb2 crystal. The functional is PBE. Values from VASP.

Structure (Quantum ESPRESSO input):
```
&SYSTEM
  ibrav = 0, nat = 10, ntyp = 3
/
ATOMIC_SPECIES
Zr 91.22 Zr.upf
Sn 118.71 Sn.upf
Sb 121.76 Sb.upf
CELL_PARAMETERS angstrom
8.166 0.000 0.000
0.000 8.166 0.000
0.000 0.000 3.717
ATOMIC_POSITIONS crystal
Zr 0.144 0.356 0.000
Zr 0.356 0.856 0.000
Zr 0.644 0.144 0.000
Zr 0.856 0.644 0.000
Sn 0.000 0.000 0.500
Sn 0.500 0.500 0.500
Sb 0.146 0.646 0.500
Sb 0.354 0.146 0.500
Sb 0.646 0.854 0.500
Sb 0.854 0.354 0.500
```

## Properties
- Fermi-level density of states: 0.880 states/eV/atom
- Energy relative to the elements, uncorrected: -307 meV per atom

---

Which value of energy relative to the elements, uncorrected does entry 6 give? -509 meV per atom

---

Which formula does entry 9 have? Zr2SnSb

---

What did the first record say?
This record from Alexandria via LeMat-Bulk describes a relaxed Zr2SnSb crystal. The functional is PBE. Values from VASP.

Structure (Quantum ESPRESSO input):
```
&SYSTEM
  ibrav = 0, nat = 4, ntyp = 3
/
ATOMIC_SPECIES
Zr 91.22 Zr.upf
Sn 118.71 Sn.upf
Sb 121.76 Sb.upf
CELL_PARAMETERS angstrom
2.068 1.194 6.769
-2.068 1.194 6.769
0.000 -2.387 6.769
ATOMIC_POSITIONS crystal
Zr 0.249 0.249 0.249
Zr 0.751 0.751 0.751
Sn 0.500 0.500 0.500
Sb 0.000 0.000 0.000
```

## Properties
- Fermi-level density of states: 0.530 states/eV/atom
- Energy relative to the elements, uncorrected: -455 meV per atom